# 1
Compound: YTm2Tl
Source: the Alexandria database
Functional: GGA-PBE
Structure: relaxed

Values from the calculation:
- raw total energy (eV per atom) = -4.61

Cell lengths 3.693, 12.774, 9.966 Å; angles 90.00, 90.00, 90.00 degrees
Space group Cmcm (No. 63)
One atom of each set of equivalent atoms:
Y  0.000  0.040  0.250
Tm  0.000  0.370  0.035
Tl  0.000  0.246  0.750

# 2
Compound: YTm4Tl2
Source: the Alexandria database
Functional: GGA-PBE
Structure: relaxed

Values from the calculation:
- raw total energy (eV per atom) = -4.04

Cell lengths 5.1609, 5.1609, 29.2463 Å; angles 90.00, 90.00, 120.00 degrees
Space group R-3m (No. 166, hexagonal axes)
One atom of each set of equivalent atoms:
Y  0.0000  0.0000  0.0000
Tm  0.0000  0.0000  0.2100
Tm  0.0000  0.0000  0.3838
Tl  0.0000  0.0000  0.1035

# 3
Compound: Y2TmTl
Source: the Alexandria database
Functional: GGA-PBE
Structure: relaxed

Values from the calculation:
- raw total energy (eV per atom) = -4.99

Cell lengths 7.719, 7.719, 7.719 Å; angles 90.00, 90.00, 90.00 degrees
Space group Fm-3m (No. 225)
One atom of each set of equivalent atoms:
Y  0.250  0.250  0.250
Tm  0.000  0.000  0.000
Tl  0.000  0.000  0.500

Question: Which formula does entry 3 have?
Answer: Y2TmTl